This record from Alexandria describes a geometry-optimized HfSCl2 structure. The functional is PBE.

Cell: 11.211 11.211 11.211 Å, 16.22 16.22 16.22°
Each line ends with the local moment (μB).
Atoms (fractional coordinates):
S 0.000 0.000 0.000  0.15
Hf 0.500 0.500 0.500  0.00
Cl 0.888 0.888 0.888  0.00
Cl 0.112 0.112 0.112  0.00

Output
For the energy above the lowest structure with this stoichiometry, the calculation gives 0.737 eV per atom. As for the theoretical density: 4.87 Mg/m³. Its uncorrected formation energy is -13.30 kcal/mol of atoms.